# 1
Compound: CaNiMo2
Source: Alexandria
Functional: GGA-PBE
Structure: optimized geometry

Properties
As for the crystal system: tetragonal.

Cell: 2.715 2.715 9.089 Å, 90.00 90.00 90.00°
Space group P4/mmm (No. 123)
One atom of each set of equivalent atoms:
Ca  0.000  0.000  0.000 x1
Ni  0.000  0.000  0.500 x1
Mo  0.500  0.500  0.296 x2

---

# 2
Compound: Hf3IrPb
Source: Alexandria
Functional: GGA-PBE
Structure: optimized geometry

Properties
As for the crystal system: cubic.

Cell: 5.049 5.049 5.049 Å, 90.00 90.00 90.00°
Space group Pm-3m (No. 221)
One atom of each set of equivalent atoms:
Hf  0.000  0.000  0.500 x3
Ir  0.000  0.000  0.000 x1
Pb  0.500  0.500  0.500 x1

---

ΔE to the lowest computed polymorph readings, ordered: 207.3 0.0 meV per atom